Entry 1:
Pm3Dy3Sc | PBE | optimized geometry

## Properties
Its energy above the lowest structure with this stoichiometry is 0.0000 eV per atom. The value obtained for the formation energy is 32 meV per atom. The calculation puts the magnetization at 0.000 μB/atom.

Geometry as CIF:
```
data_Pm3Dy3Sc
_chemical_formula_sum 'Pm6 Dy6 Sc2'
_space_group_name_H-M_alt 'P 63/m'
_space_group_IT_number 176
_space_group_name_Hall '-P 6c'
_cell_length_a 9.5465
_cell_length_b 9.5465
_cell_length_c 5.6691
_cell_angle_alpha 90.00
_cell_angle_beta 90.00
_cell_angle_gamma 120.00
loop_
_atom_site_label
_atom_site_type_symbol
_atom_site_fract_x
_atom_site_fract_y
_atom_site_fract_z
_atom_site_occupancy
Pm1 Pm 0.0968 0.4777 0.2500 1
Dy1 Dy 0.0505 0.2392 0.7500 1
Sc1 Sc 0.3333 0.6667 0.7500 1
```

Entry 2:
Pm3Dy2Sc3 | PBE | optimized geometry

## Properties
The value obtained for the formation energy is 52 meV per atom. The calculation puts the magnetization at 0.000 μB/atom.

Geometry as CIF:
```
data_Pm3Dy2Sc3
_chemical_formula_sum 'Pm6 Dy4 Sc6'
_space_group_name_H-M_alt 'I m m m'
_space_group_IT_number 71
_space_group_name_Hall '-I 2 2'
_cell_length_a 4.822
_cell_length_b 4.968
_cell_length_c 19.864
_cell_angle_alpha 90.00
_cell_angle_beta 90.00
_cell_angle_gamma 90.00
loop_
_atom_site_label
_atom_site_type_symbol
_atom_site_fract_x
_atom_site_fract_y
_atom_site_fract_z
_atom_site_occupancy
Pm1 Pm 0.000 0.000 0.000 1
Pm2 Pm 0.000 0.500 0.122 1
Dy1 Dy 0.000 0.000 0.248 1
Sc1 Sc 0.000 0.000 0.500 1
Sc2 Sc 0.000 0.500 0.375 1
```

Entry 3:
Pm3Dy8Sc2 | PBE | optimized geometry

## Properties
Its energy above the lowest structure with this stoichiometry is 0.0272 eV per atom. The value obtained for the formation energy is 270 meV per atom. The calculation puts the magnetization at 0.000 μB/atom.

Geometry as CIF:
```
data_Pm3Dy8Sc2
_chemical_formula_sum 'Pm6 Dy16 Sc4'
_space_group_name_H-M_alt 'C 1 2/m 1'
_space_group_IT_number 12
_space_group_name_Hall '-C 2y'
_cell_length_a 14.355
_cell_length_b 9.141
_cell_length_c 6.665
_cell_angle_alpha 90.00
_cell_angle_beta 99.34
_cell_angle_gamma 90.00
loop_
_atom_site_label
_atom_site_type_symbol
_atom_site_fract_x
_atom_site_fract_y
_atom_site_fract_z
_atom_site_occupancy
Pm1 Pm 0.000 0.000 0.000 1
Pm2 Pm 0.000 0.170 0.500 1
Dy1 Dy 0.084 0.500 0.363 1
Dy2 Dy 0.118 0.320 0.936 1
Dy3 Dy 0.211 0.000 0.303 1
Sc1 Sc 0.199 0.000 0.800 1
```

Entry 4:
Pm2Dy8Sc3 | PBE | optimized geometry

## Properties
Its energy above the lowest structure with this stoichiometry is 0.0000 eV per atom. The value obtained for the formation energy is 45 meV per atom. The calculation puts the magnetization at 0.000 μB/atom.

Geometry as CIF:
```
data_Pm2Dy8Sc3
_chemical_formula_sum 'Pm2 Dy8 Sc3'
_space_group_name_H-M_alt 'P -1'
_space_group_IT_number 2
_space_group_name_Hall '-P 1'
_cell_length_a 6.055
_cell_length_b 6.066
_cell_length_c 11.027
_cell_angle_alpha 90.06
_cell_angle_beta 100.45
_cell_angle_gamma 99.50
loop_
_atom_site_label
_atom_site_type_symbol
_atom_site_fract_x
_atom_site_fract_y
_atom_site_fract_z
_atom_site_occupancy
Pm1 Pm 0.116 0.269 0.461 1
Dy1 Dy 0.042 0.417 0.147 1
Dy2 Dy 0.193 0.122 0.780 1
Dy3 Dy 0.347 0.807 0.378 1
Dy4 Dy 0.423 0.660 0.701 1
Sc1 Sc 0.274 0.961 0.073 1
Sc2 Sc 0.500 0.500 0.000 1
```

Entry 5:
Pm5Dy4Sc2 | PBE | optimized geometry

## Properties
Its energy above the lowest structure with this stoichiometry is 0.0000 eV per atom. The value obtained for the formation energy is 85 meV per atom. The calculation puts the magnetization at 0.000 μB/atom.

Geometry as CIF:
```
data_Pm5Dy4Sc2
_chemical_formula_sum 'Pm5 Dy4 Sc2'
_space_group_name_H-M_alt 'P 1 2/m 1'
_space_group_IT_number 10
_space_group_name_Hall '-P 2y'
_cell_length_a 8.800
_cell_length_b 3.502
_cell_length_c 11.384
_cell_angle_alpha 90.00
_cell_angle_beta 93.85
_cell_angle_gamma 90.00
loop_
_atom_site_label
_atom_site_type_symbol
_atom_site_fract_x
_atom_site_fract_y
_atom_site_fract_z
_atom_site_occupancy
Pm1 Pm 0.000 0.000 0.000 1
Pm2 Pm 0.070 0.000 0.304 1
Pm3 Pm 0.312 0.000 0.837 1
Dy1 Dy 0.236 0.500 0.556 1
Dy2 Dy 0.337 0.500 0.121 1
Sc1 Sc 0.441 0.000 0.368 1
```

Entry 6:
Pm8Dy6Sc | PBE | optimized geometry

## Properties
The value obtained for the formation energy is 170 meV per atom. The calculation puts the magnetization at 0.000 μB/atom.

Geometry as CIF:
```
data_Pm8Dy6Sc
_chemical_formula_sum 'Pm8 Dy6 Sc1'
_space_group_name_H-M_alt 'P -3'
_space_group_IT_number 147
_space_group_name_Hall '-P 3'
_cell_length_a 9.4152
_cell_length_b 9.4152
_cell_length_c 6.4499
_cell_angle_alpha 90.00
_cell_angle_beta 90.00
_cell_angle_gamma 120.00
loop_
_atom_site_label
_atom_site_type_symbol
_atom_site_fract_x
_atom_site_fract_y
_atom_site_fract_z
_atom_site_occupancy
Pm1 Pm 0.0404 0.7630 0.1807 1
Pm2 Pm 0.3333 0.6667 0.1367 1
Dy1 Dy 0.0945 0.6509 0.6684 1
Sc1 Sc 0.0000 0.0000 0.5000 1
```

Entry 7:
Pm4Dy2Sc | PBE | optimized geometry

## Properties
Its energy above the lowest structure with this stoichiometry is 0.3510 eV per atom. The value obtained for the formation energy is 524 meV per atom. The calculation puts the magnetization at 0.000 μB/atom.

Geometry as CIF:
```
data_Pm4Dy2Sc
_chemical_formula_sum 'Pm8 Dy4 Sc2'
_space_group_name_H-M_alt 'C m m m'
_space_group_IT_number 65
_space_group_name_Hall '-C 2 2'
_cell_length_a 6.102
_cell_length_b 12.891
_cell_length_c 5.931
_cell_angle_alpha 90.00
_cell_angle_beta 90.00
_cell_angle_gamma 90.00
loop_
_atom_site_label
_atom_site_type_symbol
_atom_site_fract_x
_atom_site_fract_y
_atom_site_fract_z
_atom_site_occupancy
Pm1 Pm 0.000 0.137 0.000 1
Pm2 Pm 0.000 0.313 0.500 1
Dy1 Dy 0.000 0.389 0.000 1
Sc1 Sc 0.000 0.000 0.500 1
```

Entry 8:
Pm8Dy2Sc | PBE | optimized geometry

## Properties
Its energy above the lowest structure with this stoichiometry is 0.1464 eV per atom. The value obtained for the formation energy is 173 meV per atom. The calculation puts the magnetization at 0.000 μB/atom.

Geometry as CIF:
```
data_Pm8Dy2Sc
_chemical_formula_sum 'Pm16 Dy4 Sc2'
_space_group_name_H-M_alt 'C 1 2/m 1'
_space_group_IT_number 12
_space_group_name_Hall '-C 2y'
_cell_length_a 16.580
_cell_length_b 6.776
_cell_length_c 6.682
_cell_angle_alpha 90.00
_cell_angle_beta 101.94
_cell_angle_gamma 90.00
loop_
_atom_site_label
_atom_site_type_symbol
_atom_site_fract_x
_atom_site_fract_y
_atom_site_fract_z
_atom_site_occupancy
Pm1 Pm 0.081 0.241 0.389 1
Pm2 Pm 0.097 0.000 0.918 1
Pm3 Pm 0.246 0.500 0.330 1
Dy1 Dy 0.186 0.500 0.810 1
Sc1 Sc 0.000 0.500 0.000 1
```

Entry 9:
PmDy2Sc2 | PBE | optimized geometry

## Properties
Its energy above the lowest structure with this stoichiometry is 0.0000 eV per atom. The value obtained for the formation energy is 49 meV per atom. The calculation puts the magnetization at 0.000 μB/atom.

Geometry as CIF:
```
data_PmDy2Sc2
_chemical_formula_sum 'Pm2 Dy4 Sc4'
_space_group_name_H-M_alt 'I m m m'
_space_group_IT_number 71
_space_group_name_Hall '-I 2 2'
_cell_length_a 3.485
_cell_length_b 4.776
_cell_length_c 17.426
_cell_angle_alpha 90.00
_cell_angle_beta 90.00
_cell_angle_gamma 90.00
loop_
_atom_site_label
_atom_site_type_symbol
_atom_site_fract_x
_atom_site_fract_y
_atom_site_fract_z
_atom_site_occupancy
Pm1 Pm 0.000 0.000 0.000 1
Dy1 Dy 0.000 0.000 0.198 1
Sc1 Sc 0.000 0.000 0.399 1
```

Entry 10:
Pm5Dy8Sc | PBE | optimized geometry

## Properties
The value obtained for the formation energy is 251 meV per atom. The calculation puts the magnetization at 0.000 μB/atom.

Geometry as CIF:
```
data_Pm5Dy8Sc
_chemical_formula_sum 'Pm10 Dy16 Sc2'
_space_group_name_H-M_alt 'I -4'
_space_group_IT_number 82
_space_group_name_Hall 'I -4'
_cell_length_a 9.573
_cell_length_b 9.573
_cell_length_c 10.026
_cell_angle_alpha 90.00
_cell_angle_beta 90.00
_cell_angle_gamma 90.00
loop_
_atom_site_label
_atom_site_type_symbol
_atom_site_fract_x
_atom_site_fract_y
_atom_site_fract_z
_atom_site_occupancy
Pm1 Pm 0.000 0.000 0.000 1
Pm2 Pm 0.107 0.788 0.420 1
Dy1 Dy 0.069 0.673 0.092 1
Dy2 Dy 0.085 0.816 0.753 1
Sc1 Sc 0.000 0.500 0.750 1
```